# 1
This record from the Alexandria database describes crystalline Mo2OsPt at its relaxed geometry. The functional is GGA-PBE.

Values from the calculation:
The space-group type is No. 216. The calculation puts the formation energy at 0.226 eV/atom. Its density is 15.43 g cm⁻³. As for the total DFT energy (no corrections): -9.51 eV per atom. Its crystal system is cubic. Its polymorph energy (0 for the lowest one) is 37.8 kJ per mole of atoms.

Cell lengths 6.287, 6.287, 6.287 Å; angles 90.00, 90.00, 90.00 degrees
Sites, in units of the cell vectors:
Mo1 0.000 0.000 0.000
Mo2 0.000 0.500 0.500
Mo3 0.250 0.250 0.250
Mo4 0.250 0.750 0.750
Mo5 0.500 0.000 0.500
Mo6 0.500 0.500 0.000
Mo7 0.750 0.250 0.750
Mo8 0.750 0.750 0.250
Os1 0.000 0.000 0.500
Os2 0.000 0.500 0.000
Os3 0.500 0.000 0.000
Os4 0.500 0.500 0.500
Pt1 0.250 0.250 0.750
Pt2 0.250 0.750 0.250
Pt3 0.750 0.250 0.250
Pt4 0.750 0.750 0.750


# 2
This record from the Alexandria database describes crystalline VCdPdPt at its relaxed geometry. The functional is GGA-PBE.

Values from the calculation:
The space-group type is No. 99. The calculation puts the formation energy at -0.375 eV/atom. Its density is 12.15 g cm⁻³. As for the total DFT energy (no corrections): -5.69 eV per atom. Its crystal system is tetragonal. Its polymorph energy (0 for the lowest one) is 0.0 kJ per mole of atoms.

Cell lengths 2.835, 2.835, 7.902 Å; angles 90.00, 90.00, 90.00 degrees
Sites, in units of the cell vectors:
V1 0.000 0.000 0.000
Cd1 0.000 0.000 0.500
Pd1 0.500 0.500 0.229
Pt1 0.500 0.500 0.779


# 3
This record from the Alexandria database describes crystalline RbAg2Cl6 at its relaxed geometry. The functional is GGA-PBE.

Values from the calculation:
The space-group type is No. 123. Its density is 3.30 g cm⁻³. As for the total DFT energy (no corrections): -2.60 eV per atom. Its crystal system is tetragonal. Its polymorph energy (0 for the lowest one) is 0.0 kJ per mole of atoms. The uncorrected formation energy is -623 meV/atom.

Cell lengths 5.063, 5.063, 10.088 Å; angles 90.00, 90.00, 90.00 degrees
Sites, in units of the cell vectors:
Rb1 0.000 0.000 0.000
Ag1 0.500 0.500 0.256
Ag2 0.500 0.500 0.744
Cl1 0.000 0.500 0.242
Cl2 0.000 0.500 0.758
Cl3 0.500 0.000 0.242
Cl4 0.500 0.000 0.758
Cl5 0.500 0.500 0.000
Cl6 0.500 0.500 0.500


# 4
This record from the Alexandria database describes crystalline Cs2RuI6Br at its relaxed geometry. The functional is GGA-PBE.

Values from the calculation:
The space-group type is No. 139. Its density is 4.39 g cm⁻³. As for the total DFT energy (no corrections): -2.78 eV per atom. Its crystal system is tetragonal. The uncorrected formation energy is -584 meV/atom.

Cell lengths 8.532, 8.532, 8.532 Å; angles 117.00, 117.00, 95.28 degrees
Sites, in units of the cell vectors:
Cs1 0.250 0.750 0.500
Cs2 0.750 0.250 0.500
Ru1 0.000 0.000 0.000
I1 0.214 0.214 0.428
I2 0.214 0.786 0.000
I3 0.246 0.246 0.000
I4 0.754 0.754 0.000
I5 0.786 0.214 0.000
I6 0.786 0.786 0.572
Br1 0.500 0.500 0.000


# 5
This record from the Alexandria database describes crystalline SrAcGa at its relaxed geometry. The functional is GGA-PBE.

Values from the calculation:
The space-group type is No. 8. The calculation puts the formation energy at -0.236 eV/atom. Its density is 5.96 g cm⁻³. As for the total DFT energy (no corrections): -3.17 eV per atom. Its crystal system is monoclinic. Its polymorph energy (0 for the lowest one) is 7.8 kJ per mole of atoms.

Cell lengths 12.347, 5.185, 7.779 Å; angles 90.00, 120.70, 90.00 degrees
Sites, in units of the cell vectors:
Sr1 0.000 0.000 0.000
Sr2 0.121 0.500 0.789
Sr3 0.500 0.500 0.000
Sr4 0.621 0.000 0.789
Ac1 0.242 0.000 0.561
Ac2 0.374 0.500 0.352
Ac3 0.742 0.500 0.561
Ac4 0.874 0.000 0.352
Ga1 0.066 0.500 0.308
Ga2 0.310 0.000 0.052
Ga3 0.566 0.000 0.308
Ga4 0.810 0.500 0.052


# 6
This record from the Alexandria database describes crystalline BaAsPd2Pt at its relaxed geometry. The functional is GGA-PBE.

Values from the calculation:
The space-group type is No. 123. The calculation puts the formation energy at -0.482 eV/atom. Its density is 8.90 g cm⁻³. As for the total DFT energy (no corrections): -5.08 eV per atom. Its crystal system is tetragonal.

Cell lengths 4.882, 4.882, 4.852 Å; angles 90.00, 90.00, 90.00 degrees
Sites, in units of the cell vectors:
Ba1 0.000 0.000 0.000
As1 0.500 0.500 0.500
Pd1 0.000 0.500 0.500
Pd2 0.500 0.000 0.500
Pt1 0.500 0.500 0.000


# 7
This record from the Alexandria database describes crystalline CeNdPb at its relaxed geometry. The functional is GGA-PBE.

Values from the calculation:
The space-group type is No. 12. The calculation puts the formation energy at -0.419 eV/atom. Its density is 8.72 g cm⁻³. As for the total DFT energy (no corrections): -5.22 eV per atom. Its crystal system is monoclinic. Its polymorph energy (0 for the lowest one) is 0.0 kJ per mole of atoms.

Cell lengths 6.416, 6.425, 9.087 Å; angles 90.00, 91.01, 90.00 degrees
Sites, in units of the cell vectors:
Ce1 0.000 0.219 0.000
Ce2 0.000 0.781 0.000
Ce3 0.500 0.281 0.000
Ce4 0.500 0.719 0.000
Nd1 0.249 0.000 0.358
Nd2 0.251 0.500 0.642
Nd3 0.749 0.500 0.358
Nd4 0.751 0.000 0.642
Pb1 0.243 0.500 0.274
Pb2 0.257 0.000 0.726
Pb3 0.743 0.000 0.274
Pb4 0.757 0.500 0.726


# 8
This record from the Alexandria database describes crystalline BePd2 at its relaxed geometry. The functional is GGA-PBE.

Values from the calculation:
The space-group type is No. 62. The calculation puts the formation energy at -0.449 eV/atom. Its density is 9.55 g cm⁻³. As for the total DFT energy (no corrections): -5.15 eV per atom. Its crystal system is orthorhombic. Its polymorph energy (0 for the lowest one) is 4.8 kJ per mole of atoms.

Cell lengths 5.567, 3.876, 7.150 Å; angles 90.00, 90.00, 90.00 degrees
Sites, in units of the cell vectors:
Be1 0.227 0.250 0.109
Be2 0.273 0.750 0.609
Be3 0.727 0.250 0.391
Be4 0.773 0.750 0.891
Pd1 0.023 0.250 0.813
Pd2 0.155 0.250 0.431
Pd3 0.345 0.750 0.931
Pd4 0.477 0.750 0.313
Pd5 0.523 0.250 0.687
Pd6 0.655 0.250 0.069
Pd7 0.845 0.750 0.569
Pd8 0.977 0.750 0.187